Compound: Li2TcAu
Source: Alexandria via LeMat-Bulk
Functional: GGA-PBE
Structure: relaxed Values from VASP.

Results
The calculation puts the theoretical density at 8696 kg/m³. The symmetry is Imm2, No. 44. Its total magnetization is 0.74 μB/cell. Its density of states at the Fermi level is 0.61 states/eV/atom. Its crystal system is orthorhombic. The calculation puts the energy above the most stable polymorph in this dataset at 203 meV/atom.

Cell and atoms, written as Quantum ESPRESSO input:
```
&SYSTEM
  ibrav = 0, nat = 4, ntyp = 3
/
ATOMIC_SPECIES
Li 6.94 Li.upf
Tc 98.00 Tc.upf
Au 196.97 Au.upf
CELL_PARAMETERS angstrom
-1.329 2.317 4.789
1.329 -2.317 4.789
1.329 2.317 -4.789
ATOMIC_POSITIONS angstrom
Li 0.000 0.000 0.000
Li 0.000 2.317 2.419
Tc 1.329 0.000 2.501
Au 0.000 0.000 4.943
```



Compound: Li2TcAu
Source: Alexandria via LeMat-Bulk
Functional: GGA-PBE
Structure: relaxed Values from VASP.

Results
The calculation puts the theoretical density at 9036 kg/m³. The symmetry is Fm-3m, No. 225. Its total magnetization is 2.33 μB/cell. Its density of states at the Fermi level is 0.41 states/eV/atom. Its crystal system is cubic. The calculation puts the energy above the most stable polymorph in this dataset at 300 meV/atom.

Cell and atoms, written as Quantum ESPRESSO input:
```
&SYSTEM
  ibrav = 0, nat = 4, ntyp = 3
/
ATOMIC_SPECIES
Li 6.94 Li.upf
Tc 98.00 Tc.upf
Au 196.97 Au.upf
CELL_PARAMETERS angstrom
0.000 3.050 3.050
3.050 0.000 3.050
3.050 3.050 0.000
ATOMIC_POSITIONS angstrom
Li 1.525 1.525 1.525
Li 4.575 4.575 4.575
Tc 0.000 0.000 0.000
Au 3.050 3.050 3.050
```



Compound: Li2TcAu
Source: Alexandria via LeMat-Bulk
Functional: GGA-PBE
Structure: relaxed Values from VASP.

Results
The calculation puts the theoretical density at 8304 kg/m³. The symmetry is Pmm2, No. 25. Its total magnetization is 1.08 μB/cell. Its density of states at the Fermi level is 0.52 states/eV/atom. Its crystal system is orthorhombic. The calculation puts the energy above the most stable polymorph in this dataset at 156 meV/atom.

Cell and atoms, written as Quantum ESPRESSO input:
```
&SYSTEM
  ibrav = 0, nat = 4, ntyp = 3
/
ATOMIC_SPECIES
Li 6.94 Li.upf
Tc 98.00 Tc.upf
Au 196.97 Au.upf
CELL_PARAMETERS angstrom
2.611 0.000 0.000
0.000 4.396 0.000
0.000 0.000 5.380
ATOMIC_POSITIONS angstrom
Li 0.000 0.000 0.000
Li 1.306 2.198 1.246
Tc 0.000 0.000 2.737
Au 1.306 2.198 3.906
```



Compound: Li4TcAu
Source: Alexandria via LeMat-Bulk
Functional: GGA-PBE
Structure: relaxed Values from VASP.

Results
The calculation puts the theoretical density at 6392 kg/m³. The symmetry is F-43m, No. 216. Its total magnetization is 2.25 μB/cell. Its density of states at the Fermi level is 0.60 states/eV/atom. Its crystal system is cubic. Its energy is -3.32 eV/atom.

Cell and atoms, written as Quantum ESPRESSO input:
```
&SYSTEM
  ibrav = 0, nat = 6, ntyp = 3
/
ATOMIC_SPECIES
Li 6.94 Li.upf
Tc 98.00 Tc.upf
Au 196.97 Au.upf
CELL_PARAMETERS angstrom
0.000 3.474 3.474
3.474 0.000 3.474
3.474 3.474 0.000
ATOMIC_POSITIONS angstrom
Li 0.869 0.869 0.869
Li 2.605 2.605 0.869
Li 2.605 0.869 2.605
Li 0.869 2.605 2.605
Tc 5.211 5.211 5.211
Au 3.474 3.474 3.474
```



Compound: LiTcAu
Source: Alexandria via LeMat-Bulk
Functional: GGA-PBE
Structure: relaxed Values from VASP.

Results
The calculation puts the theoretical density at 10725 kg/m³. The symmetry is P3m1, No. 156. Its total magnetization is 0.00 μB/cell. Its density of states at the Fermi level is 0.81 states/eV/atom. Its crystal system is trigonal. The calculation puts the energy above the most stable polymorph in this dataset at 0 meV/atom.

Cell and atoms, written as Quantum ESPRESSO input:
```
&SYSTEM
  ibrav = 0, nat = 3, ntyp = 3
/
ATOMIC_SPECIES
Li 6.94 Li.upf
Tc 98.00 Tc.upf
Au 196.97 Au.upf
CELL_PARAMETERS angstrom
2.757 0.000 0.000
-1.378 2.388 0.000
0.000 0.000 7.102
ATOMIC_POSITIONS angstrom
Li 0.000 0.000 0.000
Tc 1.378 0.796 2.355
Au 0.000 1.592 4.823
```



Compound: LiTcAu3
Source: Alexandria via LeMat-Bulk
Functional: GGA-PBE
Structure: relaxed Values from VASP.

Results
The calculation puts the theoretical density at 13283 kg/m³. The symmetry is Pm-3m, No. 221. Its total magnetization is 2.96 μB/cell. Its density of states at the Fermi level is 0.52 states/eV/atom. Its crystal system is cubic. The calculation puts the energy above the most stable polymorph in this dataset at 0 meV/atom.

Cell and atoms, written as Quantum ESPRESSO input:
```
&SYSTEM
  ibrav = 0, nat = 5, ntyp = 3
/
ATOMIC_SPECIES
Li 6.94 Li.upf
Tc 98.00 Tc.upf
Au 196.97 Au.upf
CELL_PARAMETERS angstrom
4.431 0.000 0.000
0.000 4.431 0.000
0.000 0.000 4.431
ATOMIC_POSITIONS angstrom
Li 0.000 0.000 0.000
Tc 2.215 2.215 2.215
Au 0.000 0.000 2.215
Au 0.000 2.215 0.000
Au 2.215 0.000 0.000
```



Compound: Li2TcAu
Source: Alexandria via LeMat-Bulk
Functional: GGA-PBE
Structure: relaxed Values from VASP.

Results
The calculation puts the theoretical density at 8436 kg/m³. The symmetry is R-3m, No. 166. Its total magnetization is 0.68 μB/cell. Its density of states at the Fermi level is 0.78 states/eV/atom. Its crystal system is trigonal. The calculation puts the energy above the most stable polymorph in this dataset at 97 meV/atom.

Cell and atoms, written as Quantum ESPRESSO input:
```
&SYSTEM
  ibrav = 0, nat = 4, ntyp = 3
/
ATOMIC_SPECIES
Li 6.94 Li.upf
Tc 98.00 Tc.upf
Au 196.97 Au.upf
CELL_PARAMETERS angstrom
1.373 0.792 9.315
-1.373 0.792 9.315
0.000 -1.585 9.315
ATOMIC_POSITIONS angstrom
Li 0.000 0.000 6.941
Li 0.000 0.000 21.005
Tc 0.000 0.000 13.973
Au 0.000 0.000 0.000
```



Compound: LiTcAu3
Source: Alexandria via LeMat-Bulk
Functional: GGA-PBE
Structure: relaxed Values from VASP.

Results
The calculation puts the theoretical density at 8749 kg/m³. The symmetry is Pm-3m, No. 221. Its total magnetization is 2.09 μB/cell. Its density of states at the Fermi level is 0.69 states/eV/atom. Its crystal system is cubic. The calculation puts the energy above the most stable polymorph in this dataset at 82 meV/atom.

Cell and atoms, written as Quantum ESPRESSO input:
```
&SYSTEM
  ibrav = 0, nat = 5, ntyp = 3
/
ATOMIC_SPECIES
Li 6.94 Li.upf
Tc 98.00 Tc.upf
Au 196.97 Au.upf
CELL_PARAMETERS angstrom
5.093 0.000 0.000
0.000 5.093 0.000
0.000 0.000 5.093
ATOMIC_POSITIONS angstrom
Li 0.000 0.000 0.000
Tc 2.546 2.546 2.546
Au 0.000 2.546 2.546
Au 2.546 0.000 2.546
Au 2.546 2.546 0.000
```



Compound: Li2TcAu
Source: Alexandria via LeMat-Bulk
Functional: GGA-PBE
Structure: relaxed Values from VASP.

Results
The calculation puts the theoretical density at 8055 kg/m³. The symmetry is P4mm, No. 99. Its total magnetization is 0.00 μB/cell. Its density of states at the Fermi level is 0.59 states/eV/atom. Its crystal system is tetragonal. The calculation puts the energy above the most stable polymorph in this dataset at 119 meV/atom.

Cell and atoms, written as Quantum ESPRESSO input:
```
&SYSTEM
  ibrav = 0, nat = 4, ntyp = 3
/
ATOMIC_SPECIES
Li 6.94 Li.upf
Tc 98.00 Tc.upf
Au 196.97 Au.upf
CELL_PARAMETERS angstrom
2.677 0.000 0.000
0.000 2.677 0.000
0.000 0.000 8.888
ATOMIC_POSITIONS angstrom
Li 0.000 0.000 0.000
Li 1.338 1.338 2.598
Tc 0.000 0.000 4.664
Au 1.338 1.338 6.926
```



Compound: LiTcAu
Source: Alexandria via LeMat-Bulk
Functional: GGA-PBE
Structure: relaxed Values from VASP.

Results
The calculation puts the theoretical density at 9127 kg/m³. The symmetry is F-43m, No. 216. Its total magnetization is 1.40 μB/cell. Its density of states at the Fermi level is 1.46 states/eV/atom. Its crystal system is cubic. The calculation puts the energy above the most stable polymorph in this dataset at 484 meV/atom.

Cell and atoms, written as Quantum ESPRESSO input:
```
&SYSTEM
  ibrav = 0, nat = 3, ntyp = 3
/
ATOMIC_SPECIES
Li 6.94 Li.upf
Tc 98.00 Tc.upf
Au 196.97 Au.upf
CELL_PARAMETERS angstrom
0.000 3.017 3.017
3.017 0.000 3.017
3.017 3.017 0.000
ATOMIC_POSITIONS angstrom
Li 0.000 0.000 0.000
Tc 3.017 3.017 3.017
Au 4.526 4.526 4.526
```



Compound: Li2TcAu
Source: Alexandria via LeMat-Bulk
Functional: GGA-PBE
Structure: relaxed Values from VASP.

Results
The calculation puts the theoretical density at 8377 kg/m³. The symmetry is Immm, No. 71. Its total magnetization is 0.81 μB/cell. Its density of states at the Fermi level is 0.41 states/eV/atom. Its crystal system is orthorhombic. The calculation puts the energy above the most stable polymorph in this dataset at 108 meV/atom.

Cell and atoms, written as Quantum ESPRESSO input:
```
&SYSTEM
  ibrav = 0, nat = 4, ntyp = 3
/
ATOMIC_SPECIES
Li 6.94 Li.upf
Tc 98.00 Tc.upf
Au 196.97 Au.upf
CELL_PARAMETERS angstrom
-1.341 2.446 4.668
1.341 -2.446 4.668
1.341 2.446 -4.668
ATOMIC_POSITIONS angstrom
Li 0.000 0.000 2.278
Li 0.000 0.000 7.057
Tc 0.000 2.446 0.000
Au 1.341 0.000 0.000
```



Compound: Li2TcAu2
Source: Alexandria via LeMat-Bulk
Functional: GGA-PBE
Structure: relaxed Values from VASP.

Results
The calculation puts the theoretical density at 10592 kg/m³. The symmetry is I4/mmm, No. 139. Its total magnetization is 2.57 μB/cell. Its density of states at the Fermi level is 0.38 states/eV/atom. Its crystal system is tetragonal. The calculation puts the energy above the most stable polymorph in this dataset at 345 meV/atom.

Cell and atoms, written as Quantum ESPRESSO input:
```
&SYSTEM
  ibrav = 0, nat = 5, ntyp = 3
/
ATOMIC_SPECIES
Li 6.94 Li.upf
Tc 98.00 Tc.upf
Au 196.97 Au.upf
CELL_PARAMETERS angstrom
-2.283 2.283 3.804
2.283 -2.283 3.804
2.283 2.283 -3.804
ATOMIC_POSITIONS angstrom
Li 0.000 0.000 1.020
Li 0.000 0.000 6.588
Tc 0.000 0.000 3.804
Au 2.283 0.000 1.902
Au 0.000 2.283 1.902
```